(1)
{
  "formula": "CdCoI2N",
  "functional": "GGA-PBE",
  "state": "relaxed",
  "lattice": [[5.5368, 0.0000, 0.0000], [0.0000, 5.5368, 0.0000], [0.0000, 0.0000, 3.5528]],
  "species": ["Cd", "Co", "I", "I", "N"],
  "fractional_positions": [[0.0000, 0.0000, 0.0000], [0.5000, 0.5000, 0.5000], [0.0000, 0.5000, 0.5000], [0.5000, 0.0000, 0.5000], [0.5000, 0.5000, 0.0000]],
  "de_polymorph_mev_per_atom": 0.0,
  "dos_ef_per_ev_atom": 0.810,
  "e_form_raw_kj_per_mol_atoms": 35.48
}

---

(2)
{
  "formula": "CdCoI2N",
  "functional": "GGA-PBE",
  "state": "relaxed",
  "lattice": [[6.0136, 0.0000, 0.0000], [0.0000, 6.0136, 0.0000], [0.0000, 0.0000, 4.2080]],
  "species": ["Cd", "Co", "I", "I", "N"],
  "fractional_positions": [[0.0000, 0.0000, 0.0000], [0.5000, 0.5000, 0.5000], [0.0000, 0.5000, 0.0000], [0.5000, 0.0000, 0.0000], [0.0000, 0.0000, 0.5000]],
  "de_polymorph_mev_per_atom": 885.0,
  "dos_ef_per_ev_atom": 1.318,
  "e_form_raw_kj_per_mol_atoms": 120.87
}

---

(3)
{
  "formula": "Na2CdCoI",
  "functional": "GGA-PBE",
  "state": "relaxed",
  "lattice": [[5.7170, 0.0000, 0.0000], [0.0000, 5.7170, 0.0000], [0.0000, 0.0000, 4.9385]],
  "species": ["Na", "Na", "Cd", "Co", "I"],
  "fractional_positions": [[0.0000, 0.5000, 0.0000], [0.5000, 0.0000, 0.0000], [0.0000, 0.0000, 0.5000], [0.0000, 0.0000, 0.0000], [0.5000, 0.5000, 0.5000]],
  "dos_ef_per_ev_atom": 0.916,
  "e_form_raw_kj_per_mol_atoms": 19.72
}

---

Calculated ρ in order - 6.696; 4.792; 3.541 g/cm3